Entry 1:
Density functional theory data (PBE) for AgIr2 after structural relaxation.

```
AgIr2
1.0
5.342 -1.374 0.000
5.342 1.374 0.000
-1.563 0.000 6.438
Ag Ir
2 4
direct
0.017 0.017 0.303
0.983 0.983 0.697
0.284 0.284 0.354
0.350 0.350 0.971
0.650 0.650 0.029
0.716 0.716 0.646
```

Symmetry: C2/m, No. 12
Energy above the lowest structure with this stoichiometry, kcal/mol of atoms: 2.37
Formation enthalpy at 0 K, eV/f.u.: 1.011

***

Entry 2:
Density functional theory data (PBE) for AgIr2 after structural relaxation.

```
AgIr2
1.0
5.595 0.000 0.000
0.000 3.962 0.000
0.000 0.000 8.397
Ag Ir
4 8
direct
0.111 0.250 0.081
0.389 0.750 0.581
0.611 0.250 0.419
0.889 0.750 0.919
0.106 0.250 0.415
0.133 0.250 0.734
0.367 0.750 0.234
0.394 0.750 0.915
0.606 0.250 0.085
0.633 0.250 0.766
0.867 0.750 0.266
0.894 0.750 0.585
```

Symmetry: Pnma, No. 62
Energy above the lowest structure with this stoichiometry, kcal/mol of atoms: 5.34
Formation enthalpy at 0 K, eV/f.u.: 1.397

***

Entry 3:
Density functional theory data (PBE) for AgIr after structural relaxation.

```
AgIr
1.0
1.382 -2.407 0.000
1.382 2.407 0.000
0.000 0.000 9.789
Ag Ir
2 2
direct
0.250 0.750 0.870
0.750 0.250 0.130
0.250 0.750 0.386
0.750 0.250 0.614
```

Symmetry: Cmme, No. 67
Formation enthalpy at 0 K, eV/f.u.: 0.694

***

Entry 4:
Density functional theory data (PBE) for Ag2Ir after structural relaxation.

```
Ag2Ir
1.0
2.802 0.000 0.000
-1.401 2.427 0.000
0.000 0.000 7.235
Ag Ir
2 1
direct
0.333 0.667 0.170
0.667 0.333 0.830
0.000 0.000 0.500
```

Symmetry: P-3m1, No. 164
Energy above the lowest structure with this stoichiometry, kcal/mol of atoms: 0.43
Formation enthalpy at 0 K, eV/f.u.: 0.834

***

Entry 5:
Density functional theory data (PBE) for AgIr after structural relaxation.

```
AgIr
1.0
-2.039 2.039 3.824
2.039 -2.039 3.824
2.039 2.039 -3.824
Ag Ir
2 2
direct
0.375 0.625 0.750
0.625 0.375 0.250
0.125 0.875 0.250
0.875 0.125 0.750
```

Symmetry: I4_1/amd, No. 141
Formation enthalpy at 0 K, eV/f.u.: 1.060

***

Entry 6:
Density functional theory data (PBE) for AgIr after structural relaxation.

```
AgIr
1.0
1.397 0.807 9.468
-1.397 0.807 9.468
0.000 -1.613 9.468
Ag Ir
2 2
direct
0.123 0.123 0.123
0.877 0.877 0.877
0.371 0.371 0.371
0.629 0.629 0.629
```

Symmetry: R-3m, No. 166
Formation enthalpy at 0 K, eV/f.u.: 0.453

***

Entry 7:
Density functional theory data (PBE) for Ag2Ir3 after structural relaxation.

```
Ag2Ir3
1.0
1.382 0.798 11.858
-1.382 0.798 11.858
0.000 -1.595 11.858
Ag Ir
2 3
direct
0.098 0.098 0.098
0.902 0.902 0.902
0.303 0.303 0.303
0.500 0.500 0.500
0.697 0.697 0.697
```

Symmetry: R-3m, No. 166
Formation enthalpy at 0 K, eV/f.u.: 1.467

***

Entry 8:
Density functional theory data (PBE) for AgIr2 after structural relaxation.

```
AgIr2
1.0
1.374 -7.443 0.000
1.374 7.443 0.000
0.000 0.000 4.561
Ag Ir
2 4
direct
0.222 0.778 0.750
0.778 0.222 0.250
0.100 0.900 0.250
0.447 0.553 0.250
0.553 0.447 0.750
0.900 0.100 0.750
```

Symmetry: Cmcm, No. 63
Energy above the lowest structure with this stoichiometry, kcal/mol of atoms: 1.13
Formation enthalpy at 0 K, eV/f.u.: 0.850

***

Entry 9:
Density functional theory data (PBE) for AgIr2 after structural relaxation.

```
AgIr2
1.0
5.262 0.000 0.000
-2.631 4.557 0.000
0.000 0.000 8.307
Ag Ir
4 8
direct
0.333 0.667 0.071
0.333 0.667 0.429
0.667 0.333 0.571
0.667 0.333 0.929
0.000 0.000 0.000
0.000 0.000 0.500
0.172 0.345 0.750
0.172 0.828 0.750
0.345 0.172 0.250
0.655 0.828 0.750
0.828 0.172 0.250
0.828 0.655 0.250
```

Symmetry: P6_3/mmc, No. 194
Energy above the lowest structure with this stoichiometry, kcal/mol of atoms: 3.87
Formation enthalpy at 0 K, eV/f.u.: 1.206

***

Entry 10:
Density functional theory data (PBE) for Ag2Ir after structural relaxation.

```
Ag2Ir
1.0
5.432 -1.398 0.000
5.432 1.398 0.000
-1.706 0.000 6.620
Ag Ir
4 2
direct
0.017 0.017 0.307
0.358 0.358 0.970
0.642 0.642 0.030
0.983 0.983 0.693
0.292 0.292 0.373
0.708 0.708 0.627
```

Symmetry: C2/m, No. 12
Energy above the lowest structure with this stoichiometry, kcal/mol of atoms: 1.13
Formation enthalpy at 0 K, eV/f.u.: 0.926

***

Entry 11:
Density functional theory data (PBE) for AgIr after structural relaxation.

```
AgIr
1.0
-1.400 2.421 4.886
1.400 -2.421 4.886
1.400 2.421 -4.886
Ag Ir
2 2
direct
0.365 0.115 0.250
0.635 0.885 0.750
0.108 0.358 0.750
0.892 0.642 0.250
```

Symmetry: Imma, No. 74
Formation enthalpy at 0 K, eV/f.u.: 1.015

***

Entry 12:
Density functional theory data (PBE) for AgIr after structural relaxation.

```
AgIr
1.0
1.382 -6.743 0.000
1.382 6.743 0.000
0.000 0.000 3.744
Ag Ir
2 2
direct
0.076 0.924 0.750
0.924 0.076 0.250
0.291 0.709 0.750
0.709 0.291 0.250
```

Symmetry: Cmcm, No. 63
Formation enthalpy at 0 K, eV/f.u.: 0.763

***

Entry 13:
Density functional theory data (PBE) for AgIr2 after structural relaxation.

```
AgIr2
1.0
-1.382 1.382 6.165
1.382 -1.382 6.165
1.382 1.382 -6.165
Ag Ir
1 2
direct
0.000 0.000 0.000
0.322 0.322 0.000
0.678 0.678 0.000
```

Symmetry: I4/mmm, No. 139
Energy above the lowest structure with this stoichiometry, kcal/mol of atoms: 0.85
Formation enthalpy at 0 K, eV/f.u.: 0.813

***

Entry 14:
Density functional theory data (PBE) for AgIr after structural relaxation.

```
AgIr
1.0
4.456 0.000 0.000
-2.228 3.859 0.000
0.000 0.000 5.294
Ag Ir
2 2
direct
0.333 0.667 0.250
0.667 0.333 0.750
0.333 0.667 0.750
0.667 0.333 0.250
```

Symmetry: P6_3/mmc, No. 194
Formation enthalpy at 0 K, eV/f.u.: 3.591